Record 1
An optimized crystal structure of CrBr, computed with GGA-PBE.

Cell and atoms, written as POSCAR:
```
CrBr
1.0
-3.1341 1.2034 2.3807
0.1524 -3.8663 -1.4025
7.2521 -3.8908 11.5138
Cr Br
4 4
direct
0.3333 0.6667 0.7500
0.0000 0.0000 0.7500
0.6667 0.3333 0.2500
0.0000 0.0000 0.2500
0.6667 0.3333 0.6284
0.3333 0.6667 0.1284
0.6667 0.3333 0.8716
0.3333 0.6667 0.3716
```

Values from the calculation:
The crystal system is hexagonal. The space group is P6_3/mmc (194).

=====

Record 2
An optimized crystal structure of Er8Mg3Sc2, computed with GGA-PBE.

Cell and atoms, written as POSCAR:
```
Er8Mg3Sc2
1.0
6.3346 0.0000 0.5796
0.0000 8.6086 0.0000
-1.7053 -4.3043 6.9300
Er Mg Sc
8 3 2
direct
0.1180 0.4107 0.8215
0.8820 0.5893 0.1785
0.4255 0.4308 0.2331
0.1996 0.8042 0.6083
0.5745 0.5692 0.7669
0.8004 0.1958 0.3917
0.4255 0.8023 0.2331
0.5745 0.1977 0.7669
0.0000 0.1642 0.0000
0.0000 0.8358 0.0000
0.5000 0.0000 0.0000
0.2988 0.2034 0.4068
0.7012 0.7966 0.5932
```

Values from the calculation:
The crystal system is monoclinic. As for the calculated formation energy: 0.22 eV/atom. The space group is C2/m (12).

=====

Record 3
An optimized crystal structure of Ca3AcIn4, computed with GGA-PBE.

Cell and atoms, written as POSCAR:
```
Ca3AcIn4
1.0
5.5701 0.0000 0.0000
0.0000 7.8479 0.0000
0.0000 0.0000 11.1337
Ca In Ac
6 8 2
direct
0.0000 0.0000 0.0000
0.0000 0.0000 0.5000
0.5009 0.0000 0.7500
0.4991 0.0000 0.2500
0.5008 0.5000 0.7500
0.4992 0.5000 0.2500
0.9988 0.2330 0.2500
0.0012 0.7670 0.7500
0.0012 0.2330 0.7500
0.5000 0.7671 0.5000
0.9988 0.7670 0.2500
0.5000 0.2329 0.5000
0.5000 0.7671 0.0000
0.5000 0.2329 0.0000
0.0000 0.5000 0.5000
0.0000 0.5000 0.0000
```

Values from the calculation:
The crystal system is orthorhombic. As for the calculated formation energy: -0.46 eV/atom. The space group is Pmma (51).

=====

Record 4
An optimized crystal structure of CsLaO2, computed with GGA-PBE.

Cell and atoms, written as POSCAR:
```
CsLaO2
1.0
-4.8722 4.2453 2.2543
-2.9691 -2.0530 -2.5510
-2.5315 -7.8056 9.2283
O La Cs
8 4 4
direct
0.1815 0.7500 0.2485
0.1207 0.7500 0.5550
0.6815 0.7500 0.2515
0.3793 0.2500 0.0550
0.8793 0.2500 0.4450
0.8185 0.2500 0.7515
0.6207 0.7500 0.9450
0.3185 0.2500 0.7485
0.9446 0.7500 0.3783
0.0554 0.2500 0.6217
0.5554 0.2500 0.8783
0.4446 0.7500 0.1217
0.4409 0.2500 0.3681
0.0591 0.7500 0.8681
0.5591 0.7500 0.6319
0.9409 0.2500 0.1319
```

Values from the calculation:
The crystal system is orthorhombic. The space group is Pnma (62).

=====

Record 5
An optimized crystal structure of LiHgPd2, computed with GGA-PBE.

Cell and atoms, written as POSCAR:
```
LiHgPd2
1.0
-3.0331 -0.4924 0.5741
0.6363 -0.3783 3.0371
-0.8491 6.3616 0.9704
Pd Hg Li
2 1 1
direct
0.0000 0.0000 0.2806
0.0000 0.0000 0.7194
0.5000 0.5000 0.0000
0.5000 0.5000 0.5000
```

Values from the calculation:
The crystal system is tetragonal. As for the calculated formation energy: -0.31 eV/atom. The space group is P4/mmm (123).

=====

Record 6
An optimized crystal structure of LiPmCd17, computed with GGA-PBE.

Cell and atoms, written as POSCAR:
```
LiPmCd17
1.0
-3.4402 -3.2411 -6.0916
-1.0202 -7.0506 2.9489
-7.3098 0.8317 2.3072
Pm Li Cd
1 1 17
direct
0.6653 0.6653 0.6653
0.3997 0.3997 0.3997
0.0037 0.0037 0.4850
0.3001 0.0003 0.6895
0.4850 0.0037 0.0037
0.6895 0.3001 0.0003
0.8938 0.8938 0.8938
0.6478 0.6478 0.1387
0.0003 0.3001 0.6895
0.6478 0.1387 0.6478
0.0003 0.6895 0.3001
0.0944 0.0944 0.0944
0.1387 0.6478 0.6478
0.0037 0.4850 0.0037
0.8151 0.3627 0.3627
0.3627 0.3627 0.8151
0.3001 0.6895 0.0003
0.6895 0.0003 0.3001
0.3627 0.8151 0.3627
```

Values from the calculation:
The crystal system is trigonal. As for the calculated formation energy: -0.08 eV/atom. The space group is R3m (160).

=====

Record 7
An optimized crystal structure of ThAlCd11, computed with GGA-PBE.

Cell and atoms, written as POSCAR:
```
ThAlCd11
1.0
5.4651 0.0374 2.2769
2.7194 6.9748 1.1329
0.0005 0.0187 7.6961
Cd Al Th
11 1 1
direct
0.6418 0.3555 0.3472
0.9890 0.3555 0.6528
0.3582 0.6445 0.6528
0.7061 0.7875 0.7912
0.2939 0.2125 0.2088
0.5026 0.2125 0.7912
0.5000 0.0000 0.5000
0.0000 0.0000 0.5000
0.0110 0.6445 0.3472
0.0000 0.5000 0.0000
0.4974 0.7875 0.2088
0.5000 0.5000 0.0000
0.0000 0.0000 0.0000
```

Values from the calculation:
The crystal system is monoclinic. As for the calculated formation energy: -0.03 eV/atom. The space group is C2/m (12).

=====

Record 8
An optimized crystal structure of KRb2Bi, computed with GGA-PBE.

Cell and atoms, written as POSCAR:
```
KRb2Bi
1.0
8.4893 0.0000 0.0000
0.0000 11.0808 -0.2508
0.0000 -5.3146 10.8584
Rb K Bi
8 4 4
direct
0.7501 0.0843 0.1702
0.1995 0.8626 0.2263
0.3005 0.3626 0.2263
0.8005 0.1374 0.7737
0.2499 0.9157 0.8298
0.7499 0.5843 0.1702
0.6995 0.6374 0.7737
0.2501 0.4157 0.8298
0.4999 0.2040 0.5000
0.5001 0.7960 0.5000
0.0001 0.7040 0.5000
0.9999 0.2960 0.5000
0.8377 0.9591 0.4186
0.6623 0.4591 0.4186
0.3377 0.5409 0.5814
0.1623 0.0409 0.5814
```

Values from the calculation:
The crystal system is monoclinic. As for the calculated formation energy: -0.24 eV/atom. The space group is P2_1/c (14).

=====

no.,E (eV/f.u.)
1,-10.87
2,-51.07
3,-24.74
4,-25.97
5,-13.82
6,-23.70
7,-21.63
8,-7.86